# 1
# K6Br2ClO

A relaxed K6Br2ClO crystal (PBE, Alexandria via LeMat-Bulk).

The space group is Fm-3m (No. 225) and the conventional cell measures 11.3820, 11.3820 and 11.3820 Å, with angles of 90.00, 90.00 and 90.00 degrees. The asymmetric unit holds K at (0.0000, 0.0000, 0.2293), Br at (0.2500, 0.2500, 0.2500), Cl at (0.0000, 0.0000, 0.5000) and O at (0.0000, 0.0000, 0.0000).

Its calculated density is 2.01 g/cm3. The uncorrected formation energy is -1313 meV per atom. For the final energy, the calculation gives -2.986 eV/atom.

=====

# 2
# K2OsBrCl6

A relaxed K2OsBrCl6 crystal (PBE, Alexandria via LeMat-Bulk).

The space group is P1 (No. 1) and the conventional cell measures 6.3432, 6.6780 and 7.9268 Å, with angles of 83.46, 76.08 and 87.31 degrees. The asymmetric unit holds K at (0.0000, 0.0000, 0.0000), K at (0.4448, 0.4926, 0.2512), Os at (0.9141, 0.5636, 0.6715), Br at (0.4502, 0.0065, 0.1534), Cl at (0.1228, 0.2708, 0.6104), Cl at (0.2291, 0.7469, 0.6029), Cl at (0.6042, 0.3775, 0.7468), Cl at (0.7138, 0.8525, 0.7291), Cl at (0.8951, 0.6132, 0.3778) and Cl at (0.9443, 0.5048, 0.9664).

Its calculated density is 2.88 g/cm3. The uncorrected formation energy is -992 meV per atom. For the final energy, the calculation gives -3.610 eV/atom.

=====

# 3
# K2OsBr2Cl4

A relaxed K2OsBr2Cl4 crystal (PBE, Alexandria via LeMat-Bulk).

The space group is I4/mmm (No. 139) and the conventional cell measures 7.1468, 7.1468 and 10.3112 Å, with angles of 90.00, 90.00 and 90.00 degrees. The asymmetric unit holds K at (0.0000, 0.5000, 0.2500), Os at (0.0000, 0.0000, 0.0000), Br at (0.0000, 0.0000, 0.2437) and Cl at (0.2322, 0.2322, 0.0000).

Its calculated density is 3.59 g/cm3. The uncorrected formation energy is -1054 meV per atom. For the final energy, the calculation gives -3.738 eV/atom.

=====

# 4
# K2OsBr4Cl2

A relaxed K2OsBr4Cl2 crystal (PBE, Alexandria via LeMat-Bulk).

The space group is C2/m (No. 12) and the conventional cell measures 12.4846, 7.4266 and 7.5326 Å, with angles of 90.00, 127.11 and 90.00 degrees. The asymmetric unit holds K at (0.2492, 0.0000, 0.2666), Os at (0.0000, 0.0000, 0.5000), Br at (0.0257, 0.2388, 0.7602) and Cl at (0.2324, 0.0000, 0.6864).

Its calculated density is 3.93 g/cm3. The uncorrected formation energy is -961 meV per atom. For the final energy, the calculation gives -3.607 eV/atom.

=====

# 5
# K2OsBrCl

A relaxed K2OsBrCl crystal (PBE, Alexandria via LeMat-Bulk).

The space group is P4/mmm (No. 123) and the conventional cell measures 6.3538, 6.3538 and 4.5765 Å, with angles of 90.00, 90.00 and 90.00 degrees. The asymmetric unit holds K at (0.0000, 0.5000, 0.0000), Os at (0.0000, 0.0000, 0.0000), Br at (0.0000, 0.0000, 0.5000) and Cl at (0.5000, 0.5000, 0.5000).

Its calculated density is 3.45 g/cm3. The uncorrected formation energy is -9 meV per atom. For the final energy, the calculation gives -3.398 eV/atom.

=====

# 6
# KPBrCl2

A relaxed KPBrCl2 crystal (PBE, Alexandria via LeMat-Bulk).

The space group is P4/mmm (No. 123) and the conventional cell measures 6.1168, 6.1168 and 4.6218 Å, with angles of 90.00, 90.00 and 90.00 degrees. The asymmetric unit holds K at (0.0000, 0.0000, 0.0000), P at (0.5000, 0.5000, 0.0000), Br at (0.5000, 0.5000, 0.5000) and Cl at (0.0000, 0.5000, 0.5000).

For the energy above the most stable polymorph in this dataset, the calculation gives 0 meV per atom. Its calculated density is 2.12 g/cm3. The uncorrected formation energy is -120 meV per atom. For the final energy, the calculation gives -2.495 eV/atom.

=====

Question: calculated density of number 2 (K2OsBrCl6)?
Answer: 2.88 g/cm3

=====

Please write out number 6 again, unchanged.
# KPBrCl2

A relaxed KPBrCl2 crystal (PBE, Alexandria via LeMat-Bulk).

The space group is P4/mmm (No. 123) and the conventional cell measures 6.1168, 6.1168 and 4.6218 Å, with angles of 90.00, 90.00 and 90.00 degrees. The asymmetric unit holds K at (0.0000, 0.0000, 0.0000), P at (0.5000, 0.5000, 0.0000), Br at (0.5000, 0.5000, 0.5000) and Cl at (0.0000, 0.5000, 0.5000).

For the energy above the most stable polymorph in this dataset, the calculation gives 0 meV per atom. Its calculated density is 2.12 g/cm3. The uncorrected formation energy is -120 meV per atom. For the final energy, the calculation gives -2.495 eV/atom.

=====

Question: The highest uncorrected formation energy belongs to which entry?
Answer: K2OsBrCl